# Dy4FeSn

A relaxed structure of Dy4FeSn (PBE, Alexandria).

Calculated values
The formation energy comes out at -0.295 eV/atom. For the size of the total moment, the calculation gives 0.0 Bohr magnetons per cell.

Lattice parameters (Å, degrees): 5.991 7.880 7.880 113.28 100.60 100.60
Positions (direct):
Dy1 0.551 0.270 0.945
Dy2 0.872 0.647 0.792
Dy3 0.128 0.353 0.208
Dy4 0.051 0.945 0.270
Dy5 0.949 0.055 0.730
Dy6 0.449 0.730 0.055
Dy7 0.628 0.208 0.353
Dy8 0.372 0.792 0.647
Sn1 0.250 0.371 0.629
Sn2 0.750 0.629 0.371
Fe1 0.250 0.000 0.000
Fe2 0.750 0.000 0.000